4
Lattice="3.7621 0.0000 0.0000 0.0000 3.7621 0.0000 0.0000 0.0000 7.7665" Properties=species:S:1:pos:R:3 comment="PrDyCdHg GGA-PBE optimized geometry" dft_energy_ev_per_atom=-3.045 pbc="T T T"
Pr 0.0000 0.0000 0.0000
Dy 0.0000 0.0000 3.8405
Cd 1.8810 1.8810 5.6735
Hg 1.8810 1.8810 2.1120